Entry 1:
VASP calculation (PBE) on Eu2AgI after structural relaxation.

The total magnetization comes out at 14.5 μB per formula unit. The value obtained for the total energy is -6.93 eV/atom. The energy above the most stable polymorph in this dataset is 0 meV/atom. As for the formation energy from raw total energies: -0.691 eV per atom. As for the calculated volume: 425 Å³ per cell. The value obtained for the density of states at the Fermi level is 4.7390 states/eV per atom.

It has space group R-3m (No. 166, hexagonal axes), with a = 4.4168 Å, b = 4.4168 Å, c = 25.1279 Å, α = 90.00°, β = 90.00° and γ = 120.00°. Symmetry generates all atoms from Eu at (0.0000, 0.0000, 0.2383), Ag at (0.0000, 0.0000, 0.5000) and I at (0.0000, 0.0000, 0.0000).

***

Entry 2:
VASP calculation (PBE) on Eu2AgI after structural relaxation.

The total magnetization comes out at 14.7 μB per formula unit. The value obtained for the total energy is -6.89 eV/atom. The energy above the most stable polymorph in this dataset is 34 meV/atom. As for the formation energy from raw total energies: -0.657 eV per atom. As for the calculated volume: 127 Å³ per cell. The value obtained for the density of states at the Fermi level is 0.6524 states/eV per atom.

It has space group P4/mmm (No. 123), with a = 3.8835 Å, b = 3.8835 Å, c = 8.4310 Å, α = 90.00°, β = 90.00° and γ = 90.00°. Symmetry generates all atoms from Eu at (0.0000, 0.0000, 0.2214), Ag at (0.5000, 0.5000, 0.0000) and I at (0.5000, 0.5000, 0.5000).

***

Entry 3:
VASP calculation (PBE) on EuInAg2 after structural relaxation.

The total magnetization comes out at 7.2 μB per formula unit. The value obtained for the total energy is -4.84 eV/atom. As for the calculated volume: 98 Å³ per cell. The value obtained for the density of states at the Fermi level is 2.4507 states/eV per atom. The calculation puts the formation energy from the elements at -0.16 eV per atom.

It has space group P4/mmm (No. 123), with a = 3.7807 Å, b = 3.7807 Å, c = 6.8798 Å, α = 90.00°, β = 90.00° and γ = 90.00°. Symmetry generates all atoms from Eu at (0.0000, 0.0000, 0.0000), In at (0.0000, 0.0000, 0.5000) and Ag at (0.5000, 0.5000, 0.2780).

***

Entry 4:
VASP calculation (PBE) on EuInAg2 after structural relaxation.

The total magnetization comes out at 7.1 μB per formula unit. The value obtained for the total energy is -4.85 eV/atom. As for the calculated volume: 98 Å³ per cell. The value obtained for the density of states at the Fermi level is 2.8723 states/eV per atom. The calculation puts the formation energy from the elements at -0.17 eV per atom.

It has space group P4/mmm (No. 123), with a = 4.8216 Å, b = 4.8216 Å, c = 4.2121 Å, α = 90.00°, β = 90.00° and γ = 90.00°. Symmetry generates all atoms from Eu at (0.0000, 0.0000, 0.0000), In at (0.5000, 0.5000, 0.0000) and Ag at (0.0000, 0.5000, 0.5000).